Compound: K2MnH4Cl4O2
Source: Alexandria via LeMat-Bulk
Functional: GGA+U
Structure: relaxed

Summary:
- Final energy: -58.4 eV per cell
- D(E_F): 0.0000 states/eV per atom
- Mass density: 2.24 g/cm³

```
K2MnH4Cl4O2
1.0
-1.563 1.986 -6.215
5.584 -3.716 0.184
-4.657 -4.034 2.657
Cl H K Mn O
4 4 2 1 2
direct
0.000 0.234 0.748
0.000 0.748 0.234
0.486 0.252 0.252
0.514 0.766 0.766
0.850 0.587 0.587
0.000 0.263 0.413
0.150 0.737 0.737
0.000 0.413 0.263
0.500 0.250 0.750
0.500 0.750 0.250
0.000 0.000 0.000
0.000 0.267 0.267
0.000 0.733 0.733
```